Entry P
The following is a PBE-GGA calculation of crystalline BeSi2F at its relaxed geometry, from the Alexandria database.

Computed properties:
Volume: 14.54 Å³/atom
Density of states at the Fermi level: 1.38 states/eV/cell

a = 17.6482 Å, b = 2.6730 Å, c = 5.0098 Å
α = 90.00°, β = 100.06°, γ = 90.00°
Space group Cm (No. 8)
One atom of each set of equivalent atoms:
Be 0.0000 0.0000 0.0000 [2 per cell]
Be 0.1525 0.0000 0.9027 [2 per cell]
Si 0.2148 0.5000 0.2375 [2 per cell]
Si 0.2386 0.5000 0.7204 [2 per cell]
Si 0.3474 0.5000 0.2213 [2 per cell]
Si 0.3760 0.5000 0.7282 [2 per cell]
F 0.0138 0.5000 0.1692 [2 per cell]
F 0.0640 0.0000 0.8100 [2 per cell]

Entry Q
The following is a PBE-GGA calculation of crystalline BeSi2F at its relaxed geometry, from the Alexandria database.

Computed properties:
Volume: 16.05 Å³/atom
Density of states at the Fermi level: 7.56 states/eV/cell

a = 4.8108 Å, b = 4.8108 Å, c = 11.0986 Å
α = 90.00°, β = 90.00°, γ = 90.00°
Space group I-42d (No. 122)
One atom of each set of equivalent atoms:
Be 0.0000 0.0000 0.0000 [4 per cell]
Si 0.2243 0.2500 0.1250 [8 per cell]
F 0.0000 0.0000 0.5000 [4 per cell]

Among the structures above, stability is smallest for entry Q.